(1)
Entry from Alexandria via LeMat-Bulk: an optimized crystal structure of NdSmCdPt (PBE).

Cell: 5.2289 5.2289 5.2289 Å, 60.00 60.00 60.00°
With the nearest neighbours (Å) after each atom.
Fractional coordinates of all 4 atoms:
Nd (0.0000, 0.0000, 0.0000)  4 Cd 3.20, 4 Pt 3.20
Sm (0.5000, 0.5000, 0.5000)  4 Cd 3.20, 4 Pt 3.20
Cd (0.7500, 0.7500, 0.7500)  4 Sm 3.20, 4 Nd 3.20
Pt (0.2500, 0.2500, 0.2500)  4 Nd 3.20, 4 Sm 3.20

Results
ρ ... 9.89 Mg/m³
Volume ... 101 Å³ per cell
Space-group type ... F-43m, No. 216
Magnetic moment ... 0.00 μB/atom
Calculated total energy ... -19.00 eV/cell

(2)
Entry from Alexandria via LeMat-Bulk: an optimized crystal structure of NpFe5P3 (PBE).

Cell: 6.1854 6.1854 10.8003 Å, 90.00 90.00 145.59°
With the nearest neighbours (Å) after each atom.
Fractional coordinates of all 18 atoms:
Np (0.1763, 0.8237, 0.7500)  6 P 2.91-3.14, 4 Fe 3.12
Np (0.8237, 0.1763, 0.2500)  6 P 2.91-3.14, 4 Fe 3.12
Fe (0.0000, 0.0000, 0.0000)  6 Fe 2.38-2.44, 4 P 2.42
Fe (0.0000, 0.0000, 0.5000)  6 Fe 2.38-2.44, 4 P 2.42
Fe (0.1927, 0.8073, 0.0651)  4 P 2.14-2.33, 1 Fe 2.38
Fe (0.1927, 0.8073, 0.4349)  4 P 2.14-2.33, 1 Fe 2.38
Fe (0.4541, 0.5459, 0.6402)  4 P 2.24-2.30, 3 Fe 2.37-2.44
Fe (0.4541, 0.5459, 0.8598)  4 P 2.24-2.30, 3 Fe 2.37-2.44
Fe (0.5459, 0.4541, 0.1402)  4 P 2.24-2.30, 3 Fe 2.37-2.44
Fe (0.5459, 0.4541, 0.3598)  4 P 2.24-2.30, 3 Fe 2.37-2.44
Fe (0.8073, 0.1927, 0.5651)  4 P 2.14-2.33, 1 Fe 2.38
Fe (0.8073, 0.1927, 0.9349)  4 P 2.14-2.33, 1 Fe 2.38
P (0.1082, 0.8918, 0.2500)  6 Fe 2.23-2.30
P (0.3728, 0.6272, 0.0475)  5 Fe 2.14-2.33
P (0.3728, 0.6272, 0.4525)  5 Fe 2.14-2.33
P (0.6272, 0.3728, 0.5475)  5 Fe 2.14-2.33
P (0.6272, 0.3728, 0.9525)  5 Fe 2.14-2.33
P (0.8918, 0.1082, 0.7500)  6 Fe 2.23-2.30

Results
ρ ... 8.66 Mg/m³
Volume ... 234 Å³ per cell
Space-group type ... Cmcm, No. 63
Magnetic moment ... 0.82 μB/atom
Calculated total energy ... -152.17 eV/cell

(3)
Entry from Alexandria via LeMat-Bulk: an optimized crystal structure of TlInHg3Pb (PBE).

Cell: 9.5584 9.5584 6.5108 Å, 100.01 100.01 137.48°
With the nearest neighbours (Å) after each atom.
Fractional coordinates of all 12 atoms:
Tl (0.0049, 0.9951, 0.7500)  2 Tl 3.26, 8 Hg 3.38-3.48
Tl (0.9951, 0.0049, 0.2500)  2 Tl 3.26, 8 Hg 3.38-3.48
In (0.3182, 0.6818, 0.7500)  5 Hg 2.98-3.15, 2 Pb 3.28
In (0.6818, 0.3182, 0.2500)  5 Hg 2.98-3.15, 2 Pb 3.28
Hg (0.1583, 0.8204, 0.4853)  2 In 2.99-3.15, 1 Pb 3.11, 1 Hg 3.14
Hg (0.1796, 0.8417, 0.0147)  2 In 2.99-3.15, 1 Pb 3.11, 1 Hg 3.14
Hg (0.4854, 0.5146, 0.7500)  1 In 2.98, 1 Pb 3.10, 2 Hg 3.30
Hg (0.5146, 0.4854, 0.2500)  1 In 2.98, 1 Pb 3.10, 2 Hg 3.30
Hg (0.8204, 0.1583, 0.9853)  2 In 2.99-3.15, 1 Pb 3.11, 1 Hg 3.14
Hg (0.8417, 0.1796, 0.5147)  2 In 2.99-3.15, 1 Pb 3.11, 1 Hg 3.14
Pb (0.3409, 0.6591, 0.2500)  5 Hg 3.10-3.44, 2 In 3.28
Pb (0.6591, 0.3409, 0.7500)  5 Hg 3.10-3.44, 2 In 3.28

Results
ρ ... 10.62 Mg/m³
Volume ... 353 Å³ per cell
Space-group type ... C2/c, No. 15
Magnetic moment ... 0.00 μB/atom
Calculated total energy ... -19.06 eV/cell

(4)
Entry from Alexandria via LeMat-Bulk: an optimized crystal structure of Mn2GaBSe (PBE).

Cell: 4.6493 4.6493 5.9519 Å, 118.38 118.38 37.53°
With the nearest neighbours (Å) after each atom.
Fractional coordinates of all 5 atoms:
Mn (0.0000, 0.0000, 0.0000)  2 B 1.97
Mn (0.2462, 0.2462, 0.5143)  2 B 2.07
Ga (0.2955, 0.2955, 0.0512)  1 B 2.43, 3 Mn 2.46-2.47, 1 Se 2.72
B (0.6132, 0.6132, 0.2449)  4 Mn 1.97-2.07
Se (0.9826, 0.9826, 0.5979)  3 Mn 2.32-2.40

Results
ρ ... 6.60 Mg/m³
E above lowest polymorph ... 16.1 kJ per mole of atoms
Volume ... 68 Å³ per cell
Space-group type ... Cm, No. 8
Magnetic moment ... 0.53 μB/atom
Formation energy without anion corrections ... 0.03 eV per atom
Calculated total energy ... -31.37 eV/cell

(5)
Entry from Alexandria via LeMat-Bulk: an optimized crystal structure of Na3CoPd (PBE).

Cell: 5.3701 5.3701 5.3701 Å, 90.00 90.00 90.00°
With the nearest neighbours (Å) after each atom.
Fractional coordinates of all 5 atoms:
Na (0.0000, 0.0000, 0.5000)  2 Pd 2.69
Na (0.0000, 0.5000, 0.0000)  2 Pd 2.69
Na (0.5000, 0.0000, 0.0000)  2 Pd 2.69
Co (0.5000, 0.5000, 0.5000)  12 Na 3.80
Pd (0.0000, 0.0000, 0.0000)  6 Na 2.69

Results
ρ ... 2.51 Mg/m³
E above lowest polymorph ... 0.0 kJ per mole of atoms
Volume ... 155 Å³ per cell
Space-group type ... Pm-3m, No. 221
Magnetic moment ... 0.40 μB/atom
Calculated total energy ... -12.10 eV/cell

(6)
Entry from Alexandria via LeMat-Bulk: an optimized crystal structure of La5BCl5 (PBE).

Cell: 7.0401 7.0401 8.4252 Å, 107.02 107.02 48.68°
With the nearest neighbours (Å) after each atom.
Fractional coordinates of all 11 atoms:
La (0.0000, 0.0000, 0.0000)  2 B 2.90, 4 Cl 2.94-2.99
La (0.3370, 0.3370, 0.1418)  1 B 2.72, 3 Cl 2.93-3.03
La (0.3478, 0.3478, 0.7008)  1 B 2.65, 3 Cl 2.89-2.93
La (0.6522, 0.6522, 0.2992)  1 B 2.65, 3 Cl 2.89-2.93
La (0.6630, 0.6630, 0.8582)  1 B 2.72, 3 Cl 2.93-3.03
B (0.5000, 0.5000, 0.0000)  6 La 2.65-2.90
Cl (0.1549, 0.1549, 0.8078)  5 La 2.89-3.03
Cl (0.1621, 0.1621, 0.3465)  5 La 2.93-3.24
Cl (0.5000, 0.5000, 0.5000)  4 La 2.97-3.07
Cl (0.8379, 0.8379, 0.6535)  5 La 2.93-3.24
Cl (0.8451, 0.8451, 0.1922)  5 La 2.89-3.03

Results
ρ ... 4.93 Mg/m³
Volume ... 297 Å³ per cell
Space-group type ... C2/m, No. 12
Magnetic moment ... 0.00 μB/atom
Formation energy without anion corrections ... -1.51 eV per atom
Calculated total energy ... -57.21 eV/cell

(7)
Entry from Alexandria via LeMat-Bulk: an optimized crystal structure of BeIr2W (PBE).

Cell: 2.7942 3.5431 5.5537 Å, 90.00 90.00 90.00°
With the nearest neighbours (Å) after each atom.
Fractional coordinates of all 4 atoms:
Be (0.0000, 0.0000, 0.0000)  8 Ir 2.61, 2 W 2.78, 2 Be 2.79
Ir (0.5000, 0.5000, 0.2356)  4 Be 2.61, 3 Ir 2.62-2.79, 4 W 2.69
Ir (0.5000, 0.5000, 0.7644)  4 Be 2.61, 3 Ir 2.62-2.79, 4 W 2.69
W (0.0000, 0.0000, 0.5000)  8 Ir 2.69, 2 Be 2.78, 2 W 2.79

Results
ρ ... 17.43 Mg/m³
Volume ... 55 Å³ per cell
Space-group type ... Pmmm, No. 47
Magnetic moment ... 0.00 μB/atom
Calculated total energy ... -35.46 eV/cell

(8)
Entry from Alexandria via LeMat-Bulk: an optimized crystal structure of SiBr2F (PBE).

Cell: 8.3160 8.3160 8.3160 Å, 25.32 25.32 25.32°
With the nearest neighbours (Å) after each atom.
Fractional coordinates of all 4 atoms:
Si (0.0000, 0.0000, 0.0000)  6 Br 2.72
Br (0.4045, 0.4045, 0.4045)  1 F 2.31
Br (0.5955, 0.5955, 0.5955)  1 F 2.31
F (0.5000, 0.5000, 0.5000)  2 Br 2.31

Results
ρ ... 3.71 Mg/m³
E above lowest polymorph ... 118.2 kJ per mole of atoms
Volume ... 93 Å³ per cell
Space-group type ... R-3m, No. 166
Magnetic moment ... 0.00 μB/atom
Formation energy without anion corrections ... -0.23 eV per atom
Calculated total energy ... -11.56 eV/cell

(9)
Entry from Alexandria via LeMat-Bulk: an optimized crystal structure of LaHg2Pt (PBE).

Cell: 3.7208 3.7208 7.2328 Å, 90.00 90.00 90.00°
With the nearest neighbours (Å) after each atom.
Fractional coordinates of all 4 atoms:
La (0.0000, 0.0000, 0.0000)  4 Pt 3.00, 1 Hg 3.21
Hg (0.0000, 0.0000, 0.4437)  4 Hg 3.16, 4 Pt 3.17, 1 La 3.21
Hg (0.5000, 0.5000, 0.6865)  4 Hg 3.16, 4 La 3.47, 1 Pt 3.53
Pt (0.5000, 0.5000, 0.1988)  4 La 3.00, 4 Hg 3.17

Results
ρ ... 12.19 Mg/m³
Volume ... 100 Å³ per cell
Space-group type ... P4mm, No. 99
Magnetic moment ... 0.00 μB/atom
Calculated total energy ... -13.60 eV/cell

(10)
Entry from Alexandria via LeMat-Bulk: an optimized crystal structure of PrTlCd (PBE).

Cell: 5.4065 5.4065 6.5930 Å, 90.00 90.00 119.60°
With the nearest neighbours (Å) after each atom.
Fractional coordinates of all 6 atoms:
Pr (0.1663, 0.8337, 0.7500)  5 Tl 3.12-3.30
Pr (0.8337, 0.1663, 0.2500)  5 Tl 3.12-3.30
Tl (0.1677, 0.8323, 0.2500)  5 Pr 3.12-3.30
Tl (0.8323, 0.1677, 0.7500)  5 Pr 3.12-3.30
Cd (0.5000, 0.5000, 0.0000)  2 Cd 3.30, 6 Tl 3.52-3.55, 6 Pr 3.53-3.54
Cd (0.5000, 0.5000, 0.5000)  2 Cd 3.30, 6 Tl 3.52-3.55, 6 Pr 3.53-3.54

Results
ρ ... 9.07 Mg/m³
Volume ... 168 Å³ per cell
Space-group type ... Cmcm, No. 63
Magnetic moment ... 0.00 μB/atom
Calculated total energy ... -18.10 eV/cell

(11)
Entry from Alexandria via LeMat-Bulk: an optimized crystal structure of Hf4InGa5 (PBE).

Cell: 6.5676 6.5676 6.5676 Å, 100.59 100.59 129.22°
With the nearest neighbours (Å) after each atom.
Fractional coordinates of all 10 atoms:
Hf (0.0663, 0.3203, 0.3866)  5 Ga 2.70-2.93
Hf (0.3203, 0.9337, 0.2540)  5 Ga 2.70-2.93
Hf (0.6797, 0.0663, 0.7460)  5 Ga 2.70-2.93
Hf (0.9337, 0.6797, 0.6134)  5 Ga 2.70-2.93
In (0.7673, 0.7673, 0.0000)  5 Ga 2.60-2.77
Ga (0.2285, 0.2285, 0.0000)  1 In 2.60, 4 Ga 2.74
Ga (0.2377, 0.5948, 0.8492)  5 Hf 2.70-2.93, 1 Ga 2.74, 1 In 2.77
Ga (0.3886, 0.2377, 0.6429)  5 Hf 2.70-2.93, 1 Ga 2.74, 1 In 2.77
Ga (0.5948, 0.7456, 0.3571)  5 Hf 2.70-2.93, 1 Ga 2.74, 1 In 2.77
Ga (0.7456, 0.3886, 0.1508)  5 Hf 2.70-2.93, 1 Ga 2.74, 1 In 2.77

Results
ρ ... 9.86 Mg/m³
Volume ... 198 Å³ per cell
Space-group type ... I4, No. 79
Magnetic moment ... 0.00 μB/atom
Calculated total energy ... -58.55 eV/cell

(12)
Entry from Alexandria via LeMat-Bulk: an optimized crystal structure of TcNiBr2 (PBE).

Cell: 5.3015 5.3015 5.3015 Å, 142.95 112.01 80.04°
With the nearest neighbours (Å) after each atom.
Fractional coordinates of all 4 atoms:
Tc (0.0000, 0.0000, 0.0000)  4 Br 2.86
Ni (0.5000, 0.5000, 0.0000)  4 Br 2.43
Br (0.2847, 0.7847, 0.5000)  2 Ni 2.43
Br (0.7153, 0.2153, 0.5000)  2 Ni 2.43

Results
ρ ... 6.48 Mg/m³
E above lowest polymorph ... 57.3 kJ per mole of atoms
Volume ... 81 Å³ per cell
Space-group type ... Immm, No. 71
Magnetic moment ... 0.78 μB/atom
Formation energy without anion corrections ... 0.76 eV per atom
Calculated total energy ... -16.47 eV/cell